A crystal of Li4Mn3Cu3Sn2O16 relaxed with PBEsol. Source: Alexandria, functional SCAN.

Computed properties:
Final energy (eV/atom): -11.82

Cell: 5.756 5.868 9.506 Å, 91.10 90.00 119.37°
Sites, in units of the cell vectors:
1 Li 0.332 0.664 0.898
2 Li 0.004 0.009 0.997
3 Li 0.998 0.995 0.493
4 Li 0.659 0.319 0.391
5 Mn 0.171 0.341 0.216
6 Mn 0.831 0.169 0.714
7 Mn 0.338 0.169 0.714
8 Cu 0.662 0.831 0.214
9 Cu 0.169 0.831 0.214
10 Cu 0.830 0.659 0.716
11 Sn 0.335 0.669 0.490
12 Sn 0.673 0.347 0.995
13 O 0.685 0.849 0.605
14 O 0.480 0.960 0.339
15 O 0.320 0.640 0.110
16 O 0.013 0.026 0.307
17 O 0.015 0.029 0.810
18 O 0.164 0.849 0.605
19 O 0.473 0.499 0.339
20 O 0.026 0.499 0.339
21 O 0.849 0.697 0.094
22 O 0.158 0.316 0.605
23 O 0.965 0.469 0.832
24 O 0.504 0.469 0.832
25 O 0.649 0.298 0.607
26 O 0.851 0.176 0.101
27 O 0.518 0.036 0.830
28 O 0.325 0.176 0.101